KAg2Sb | PBE | relaxed

Cell: 3.246 5.691 11.243 Å, 90.00 90.00 90.00°
Element x y z (fractional)
1 K 0.000 0.000 0.000
2 K 0.500 0.500 0.500
3 Ag 0.000 0.000 0.494
4 Ag 0.000 0.500 0.201
5 Ag 0.500 0.000 0.701
6 Ag 0.500 0.500 0.994
7 Sb 0.000 0.500 0.783
8 Sb 0.500 0.000 0.283

Computed properties:
Raw formation energy ... 0.035 eV/atom
Space group ... Imm2, No. 44
DOS at the Fermi energy ... 0.219 states/eV per atom
Total energy ... -21.6 eV per cell
Crystal system ... orthorhombic